Record 1
NbCrOs: relaxed, GGA-PBE.

Fermi-level density of states: 3.71 states/eV/f.u.
Density: 10922 kg/m3
Space group: P4/nmm (129)
Energy relative to the elements: 0.517 eV per atom
Energy: -9.79 eV per atom
Total magnetic moment: 0.00 μB per formula unit

Cell lengths 4.165, 4.169, 5.870 Å; angles 90.00, 90.00, 90.00 degrees
Element x y z (fractional)
Cr 0.000 0.500 0.293
Cr 0.500 0.000 0.707
Nb 0.000 0.000 0.000
Nb 0.500 0.500 0.000
Os 0.500 0.500 0.500
Os 0.000 0.000 0.500

---

Record 2
CdSb6Pd: relaxed, GGA-PBE.

Fermi-level density of states: 3.83 states/eV/f.u.
Density: 6549 kg/m3
Space group: C2/m (12)
Energy: -3.93 eV per atom
Total magnetic moment: 0.00 μB per formula unit

Cell lengths 8.492, 8.492, 8.613 Å; angles 109.39, 109.14, 109.32 degrees
Element x y z (fractional)
Sb 0.205 0.866 0.368
Sb 0.368 0.500 0.164
Sb 0.154 0.344 0.498
Sb 0.846 0.656 0.502
Sb 0.664 0.796 0.164
Sb 0.502 0.163 0.368
Sb 0.795 0.134 0.632
Sb 0.498 0.837 0.632
Sb 0.860 0.362 0.222
Sb 0.632 0.500 0.836
Sb 0.336 0.204 0.836
Sb 0.140 0.638 0.778
Pd 0.000 0.000 0.500
Pd 0.500 0.500 0.500
Cd 0.500 0.000 0.000
Cd 0.000 0.500 0.000

---

Record 3
Na4PtAu2: relaxed, GGA-PBE.

Fermi-level density of states: 1.75 states/eV/f.u.
Density: 7409 kg/m3
Space group: C2/m (12)
Energy relative to the elements: -0.243 eV per atom
Energy: -2.80 eV per atom
Total magnetic moment: 0.00 μB per formula unit

Cell lengths 4.740, 7.451, 5.272 Å; angles 110.80, 116.71, 90.00 degrees
Element x y z (fractional)
Au 0.193 0.385 0.386
Au 0.807 0.615 0.614
Na 0.520 0.722 0.040
Na 0.250 0.834 0.500
Na 0.750 0.166 0.500
Na 0.480 0.278 0.960
Pt 0.000 0.000 0.000

---

Record 4
Pr4Pu3S8: relaxed, GGA-PBE.

Fermi-level density of states: 27.40 states/eV/f.u.
Density: 6378 kg/m3
Space group: R-3m (166)
Energy: -8.01 eV per atom
Total magnetic moment: 17.32 μB per formula unit

Cell lengths 7.968, 7.968, 8.671 Å; angles 62.65, 62.65, 60.00 degrees
Site moments in Bohr magnetons follow the coordinates.
Element x y z (fractional)
S 0.228 0.228 0.315  -0.09
S 0.758 0.251 0.740  -0.04
S 0.242 0.749 0.260  -0.04
S 0.251 0.251 0.740  -0.04
S 0.749 0.749 0.260  -0.04
S 0.749 0.242 0.260  -0.04
S 0.772 0.772 0.685  -0.09
S 0.251 0.758 0.740  -0.04
Pr 0.000 0.000 0.000  0.08
Pr 0.349 0.349 0.953  0.09
Pr 0.500 0.500 0.500  0.06
Pr 0.651 0.651 0.047  0.09
Pu 0.500 0.000 0.500  5.35
Pu 0.000 0.000 0.500  5.35
Pu 0.000 0.500 0.500  5.35

---

Record 5
CePuSbRh: relaxed, GGA-PBE.

Fermi-level density of states: 9.75 states/eV/f.u.
Density: 10372 kg/m3
Space group: P4/nmm (129)
Energy: -8.38 eV per atom
Total magnetic moment: 6.67 μB per formula unit

Cell lengths 4.234, 4.234, 10.872 Å; angles 90.00, 90.00, 90.00 degrees
Site moments in Bohr magnetons follow the coordinates.
Element x y z (fractional)
Sb 0.500 0.000 0.942  0.00
Sb 0.000 0.500 0.058  0.00
Rh 0.500 0.000 0.700  -0.07
Rh 0.000 0.500 0.300  -0.07
Ce 0.500 0.000 0.234  0.79
Ce 0.000 0.500 0.766  0.79
Pu 0.000 0.000 0.500  5.45
Pu 0.500 0.500 0.500  5.45

---

Record 6
ZrRuAu2: relaxed, GGA-PBE.

Fermi-level density of states: 3.70 states/eV/f.u.
Density: 13514 kg/m3
Space group: P4/mmm (123)
Energy relative to the elements: 0.032 eV per atom
Energy: -6.06 eV per atom
Total magnetic moment: 1.84 μB per formula unit

Cell lengths 3.013, 3.013, 7.934 Å; angles 90.00, 90.00, 90.00 degrees
Site moments in Bohr magnetons follow the coordinates.
Element x y z (fractional)
Zr 0.500 0.500 0.750  0.15
Au 0.000 0.000 0.011  0.04
Au 0.000 0.000 0.489  0.04
Ru 0.500 0.500 0.250  1.51

---

Record 7
KAcAgSe3: relaxed, GGA-PBE.

Fermi-level density of states: 6.83 states/eV/f.u.
Density: 5400 kg/m3
Space group: Cmcm (63)
Energy: -4.22 eV per atom
Total magnetic moment: 0.00 μB per formula unit

Cell lengths 4.559, 7.206, 12.056 Å; angles 90.00, 90.00, 108.44 degrees
Element x y z (fractional)
Se 0.645 0.290 0.439
Se 0.057 0.114 0.750
Se 0.355 0.710 0.561
Se 0.943 0.886 0.250
Se 0.645 0.290 0.061
Se 0.355 0.710 0.939
K 0.257 0.514 0.250
K 0.743 0.486 0.750
Ac 0.000 0.000 0.500
Ac 0.000 0.000 0.000
Ag 0.547 0.095 0.250
Ag 0.453 0.905 0.750

---

Record 8
NaNb2Bi: relaxed, GGA-PBE.

Fermi-level density of states: 1.67 states/eV/f.u.
Density: 7488 kg/m3
Space group: I-42d (122)
Energy relative to the elements: 0.936 eV per atom
Energy: -5.40 eV per atom
Total magnetic moment: 0.00 μB per formula unit

Cell lengths 8.089, 8.089, 6.382 Å; angles 50.68, 50.68, 90.00 degrees
Element x y z (fractional)
Na 0.250 0.750 0.500
Na 0.500 0.500 0.000
Bi 0.750 0.250 0.500
Bi 0.000 0.000 0.000
Nb 0.646 0.125 0.250
Nb 0.104 0.625 0.250
Nb 0.375 0.354 0.750
Nb 0.875 0.896 0.750

---

Record 9
UCdIrO6: relaxed, GGA-PBE.

Fermi-level density of states: 6.76 states/eV/f.u.
Density: 9037 kg/m3
Space group: P-31c (163)
Energy: -7.40 eV per atom
Total magnetic moment: 0.03 μB per formula unit

Cell lengths 5.404, 5.404, 9.282 Å; angles 90.00, 90.00, 120.00 degrees
Element x y z (fractional)
O 0.304 0.348 0.874
O 0.956 0.652 0.374
O 0.348 0.304 0.374
O 0.348 0.044 0.126
O 0.044 0.696 0.874
O 0.696 0.652 0.126
O 0.956 0.304 0.126
O 0.652 0.956 0.874
O 0.696 0.044 0.374
O 0.652 0.696 0.626
O 0.304 0.956 0.626
O 0.044 0.348 0.626
Ir 0.667 0.333 0.250
Ir 0.333 0.667 0.750
U 0.000 0.000 0.500
U 0.000 0.000 0.000
Cd 0.667 0.333 0.750
Cd 0.333 0.667 0.250

---

Record 10
Ti6In2Fe: relaxed, GGA-PBE.

Fermi-level density of states: 9.20 states/eV/f.u.
Density: 5217 kg/m3
Space group: C2/m (12)
Energy relative to the elements: 0.233 eV per atom
Energy: -6.58 eV per atom
Total magnetic moment: 1.49 μB per formula unit

Cell lengths 4.716, 5.873, 7.606 Å; angles 112.71, 108.63, 90.00 degrees
Site moments in Bohr magnetons follow the coordinates.
Element x y z (fractional)
Ti 0.870 0.131 0.748  0.07
Ti 0.500 0.752 0.000  0.55
Ti 0.130 0.869 0.252  0.07
Ti 0.500 0.248 0.000  0.55
Ti 0.870 0.618 0.748  0.07
Ti 0.130 0.382 0.252  0.07
Fe 0.000 0.000 0.000  -0.15
In 0.304 0.310 0.619  -0.01
In 0.696 0.690 0.381  -0.01

---

Record 11
InSnIr2Se: relaxed, GGA-PBE.

Fermi-level density of states: 2.92 states/eV/f.u.
Density: 9549 kg/m3
Space group: P4/mmm (123)
Energy: -4.69 eV per atom
Total magnetic moment: 0.81 μB per formula unit

Cell lengths 4.631, 5.651, 4.631 Å; angles 90.00, 90.00, 90.00 degrees
Site moments in Bohr magnetons follow the coordinates.
Element x y z (fractional)
Se 0.000 0.000 0.000  0.03
In 0.500 0.500 0.500  0.00
Ir 0.500 0.000 0.000  0.43
Ir 0.000 0.000 0.500  0.30
Sn 0.000 0.500 0.000  0.02

---

Record 12
Li4ZrBr: relaxed, GGA-PBE.

Fermi-level density of states: 6.20 states/eV/f.u.
Density: 2644 kg/m3
Space group: F-43m (216)
Energy: -2.71 eV per atom
Total magnetic moment: 1.83 μB per formula unit

Cell lengths 5.611, 5.611, 5.611 Å; angles 60.00, 60.00, 60.00 degrees
Site moments in Bohr magnetons follow the coordinates.
Element x y z (fractional)
Zr 0.750 0.750 0.750  1.21
Li 0.872 0.376 0.376  -0.01
Li 0.376 0.376 0.872  -0.01
Li 0.376 0.376 0.376  -0.01
Li 0.376 0.872 0.376  -0.01
Br 0.000 0.000 0.000  0.00

---

Record 13
SrPb3C: relaxed, GGA-PBE.

Fermi-level density of states: 4.18 states/eV/f.u.
Density: 8400 kg/m3
Space group: Pm-3m (221)
Energy relative to the elements: 0.652 eV per atom
Energy: -3.75 eV per atom
Total magnetic moment: 0.00 μB per formula unit

Cell lengths 5.224, 5.224, 5.224 Å; angles 90.00, 90.00, 90.00 degrees
Element x y z (fractional)
Pb 0.000 0.500 0.000
Pb 0.000 0.000 0.500
Pb 0.500 0.000 0.000
C 0.000 0.000 0.000
Sr 0.500 0.500 0.500

---

Record 14
AlGa3Ir: relaxed, GGA-PBE.

Fermi-level density of states: 4.62 states/eV/f.u.
Density: 6719 kg/m3
Space group: Pm-3m (221)
Energy relative to the elements: 0.985 eV per atom
Energy: -3.35 eV per atom
Total magnetic moment: 0.00 μB per formula unit

Cell lengths 4.731, 4.731, 4.731 Å; angles 90.00, 90.00, 90.00 degrees
Element x y z (fractional)
Ga 0.000 0.000 0.500
Ga 0.500 0.000 0.000
Ga 0.000 0.500 0.000
Ir 0.500 0.500 0.500
Al 0.000 0.000 0.000

---

Record 15
K2HfTl: relaxed, GGA-PBE.

Fermi-level density of states: 6.41 states/eV/f.u.
Density: 5313 kg/m3
Space group: Fm-3m (225)
Energy relative to the elements: 1.044 eV per atom
Energy: -2.59 eV per atom
Total magnetic moment: 0.00 μB per formula unit

Cell lengths 5.885, 5.885, 5.885 Å; angles 60.00, 60.00, 60.00 degrees
Element x y z (fractional)
Hf 0.000 0.000 0.000
K 0.250 0.250 0.250
K 0.750 0.750 0.750
Tl 0.500 0.500 0.500

---

Record 16
KGeIrC2: relaxed, GGA-PBE.

Fermi-level density of states: 4.78 states/eV/f.u.
Density: 5365 kg/m3
Space group: P4/mmm (123)
Energy relative to the elements: 3.804 eV per atom
Energy: -2.80 eV per atom
Total magnetic moment: 2.27 μB per formula unit

Cell lengths 4.322, 5.435, 4.322 Å; angles 90.00, 90.00, 90.00 degrees
Site moments in Bohr magnetons follow the coordinates.
Element x y z (fractional)
C 0.000 0.000 0.500  0.46
C 0.500 0.000 0.000  0.62
Ge 0.500 0.500 0.500  -0.01
K 0.000 0.000 0.000  0.12
Ir 0.000 0.500 0.000  0.18

---

Record 17
PrNb6S8: relaxed, GGA-PBE.

Fermi-level density of states: 9.38 states/eV/f.u.
Density: 5344 kg/m3
Space group: R-3 (148)
Energy: -7.62 eV per atom
Total magnetic moment: 0.00 μB per formula unit

Cell lengths 6.676, 6.676, 6.676 Å; angles 87.44, 87.44, 87.44 degrees
Element x y z (fractional)
S 0.765 0.765 0.765
S 0.392 0.131 0.755
S 0.869 0.245 0.608
S 0.608 0.869 0.245
S 0.131 0.755 0.392
S 0.245 0.608 0.869
S 0.235 0.235 0.235
S 0.755 0.392 0.131
Nb 0.409 0.558 0.203
Nb 0.558 0.203 0.409
Nb 0.797 0.591 0.442
Nb 0.442 0.797 0.591
Nb 0.203 0.409 0.558
Nb 0.591 0.442 0.797
Pr 0.000 0.000 0.000

---

Record 18
PmYCuAu: relaxed, GGA-PBE.

Fermi-level density of states: 2.86 states/eV/f.u.
Density: 8543 kg/m3
Space group: Amm2 (38)
Energy relative to the elements: -0.530 eV per atom
Energy: -5.18 eV per atom
Total magnetic moment: 0.00 μB per formula unit

Cell lengths 3.830, 4.592, 5.790 Å; angles 90.00, 109.32, 90.00 degrees
Element x y z (fractional)
Cu 0.422 0.000 0.844
Y 0.139 0.000 0.279
Au 0.578 0.500 0.157
Pm 0.860 0.500 0.720

---

Record 19
MnGaFeAu: relaxed, GGA-PBE.

Fermi-level density of states: 1.59 states/eV/f.u.
Density: 11033 kg/m3
Space group: F-43m (216)
Energy relative to the elements: 0.045 eV per atom
Energy: -5.94 eV per atom
Total magnetic moment: 4.95 μB per formula unit

Cell lengths 4.315, 4.315, 4.315 Å; angles 60.00, 60.00, 60.00 degrees
Site moments in Bohr magnetons follow the coordinates.
Element x y z (fractional)
Au 0.500 0.500 0.500  0.07
Mn 0.750 0.750 0.750  3.22
Fe 0.000 0.000 0.000  1.65
Ga 0.250 0.250 0.250  -0.07

---

Record 20
Ho11Tl9Pd4: relaxed, GGA-PBE.

Fermi-level density of states: 16.19 states/eV/f.u.
Density: 11284 kg/m3
Space group: Cmmm (65)
Energy relative to the elements: -0.555 eV per atom
Energy: -4.41 eV per atom
Total magnetic moment: 0.00 μB per formula unit

Cell lengths 3.691, 13.280, 13.280 Å; angles 112.74, 90.00, 90.00 degrees
Element x y z (fractional)
Tl 0.500 0.848 0.369
Tl 0.500 0.500 0.500
Tl 0.500 0.369 0.848
Tl 0.500 0.152 0.631
Tl 0.500 0.785 0.932
Tl 0.500 0.068 0.215
Tl 0.500 0.631 0.152
Tl 0.500 0.932 0.785
Tl 0.500 0.215 0.068
Pd 0.500 0.752 0.551
Pd 0.500 0.248 0.449
Pd 0.500 0.551 0.752
Pd 0.500 0.449 0.248
Ho 0.000 0.924 0.585
Ho 0.000 0.839 0.161
Ho 0.000 0.415 0.076
Ho 0.000 0.692 0.692
Ho 0.000 0.161 0.839
Ho 0.000 0.000 0.000
Ho 0.000 0.372 0.628
Ho 0.000 0.628 0.372
Ho 0.000 0.076 0.415
Ho 0.000 0.308 0.308
Ho 0.000 0.585 0.924

---

Record 21
Pm2NpNi9: relaxed, GGA-PBE.

Fermi-level density of states: 21.35 states/eV/f.u.
Density: 9900 kg/m3
Space group: R-3m (166)
Energy relative to the elements: -0.237 eV per atom
Energy: -6.44 eV per atom
Total magnetic moment: 2.52 μB per formula unit

Cell lengths 4.978, 4.978, 8.735 Å; angles 73.44, 73.44, 60.00 degrees
Site moments in Bohr magnetons follow the coordinates.
Element x y z (fractional)
Ni 0.081 0.580 0.759  -0.17
Ni 0.420 0.420 0.241  -0.17
Ni 0.333 0.333 0.001  -0.32
Ni 0.667 0.667 0.999  -0.32
Ni 0.580 0.580 0.759  -0.17
Ni 0.919 0.420 0.241  -0.17
Ni 0.500 0.500 0.500  -0.08
Ni 0.580 0.081 0.759  -0.17
Ni 0.420 0.919 0.241  -0.17
Pm 0.862 0.862 0.415  0.07
Pm 0.138 0.138 0.585  0.07
Np 0.000 0.000 0.000  3.58

---

Record 22
FeMoCl2: relaxed, GGA-PBE.

Fermi-level density of states: 3.07 states/eV/f.u.
Density: 4702 kg/m3
Space group: Imm2 (44)
Energy: -5.63 eV per atom
Total magnetic moment: 2.76 μB per formula unit

Cell lengths 8.865, 8.865, 8.865 Å; angles 160.35, 160.37, 27.91 degrees
Site moments in Bohr magnetons follow the coordinates.
Element x y z (fractional)
Mo 0.317 0.817 0.500  -0.31
Cl 0.017 0.017 0.000  0.14
Cl 0.732 0.232 0.500  -0.03
Fe 0.434 0.434 0.000  2.90

---

Record 23
RuCl3: relaxed, GGA-PBE.

Fermi-level density of states: 3.39 states/eV/f.u.
Density: 3016 kg/m3
Space group: Imm2 (44)
Energy: -3.88 eV per atom
Total magnetic moment: 1.01 μB per formula unit

Cell lengths 6.449, 6.449, 6.449 Å; angles 150.42, 119.18, 69.08 degrees
Site moments in Bohr magnetons follow the coordinates.
Element x y z (fractional)
Cl 0.181 0.107 0.074  0.05
Cl 0.466 0.393 0.074  0.05
Cl 0.728 0.250 0.478  0.05
Ru 0.459 0.750 0.709  0.75

---

Record 24
Zn5IrPt2: relaxed, GGA-PBE.

Fermi-level density of states: 2.19 states/eV/f.u.
Density: 13046 kg/m3
Space group: Fmmm (69)
Energy relative to the elements: -0.319 eV per atom
Energy: -3.73 eV per atom
Total magnetic moment: 0.00 μB per formula unit

Cell lengths 4.505, 4.505, 6.538 Å; angles 110.24, 110.24, 89.92 degrees
Element x y z (fractional)
Pt 0.253 0.253 0.506
Pt 0.747 0.747 0.494
Zn 0.376 0.876 0.751
Zn 0.500 0.500 0.000
Zn 0.124 0.624 0.249
Zn 0.624 0.124 0.249
Zn 0.876 0.376 0.751
Ir 0.000 0.000 0.000